Entry from the Alexandria database: La2Dy4Sc after structural relaxation (PBE).

As for the size of the total moment: 0.00 μB per atom. The density of states at the Fermi level is 1.4284 states/eV per atom. Its energy relative to the elements is 180 meV per atom. Its energy above the lowest structure with this stoichiometry is 0.0 meV per atom. The calculation puts the calculated density at 7.03 g/cm³.

The structure belongs to space group C2/c (No. 15); the cell edges are 6.689, 12.027 and 11.418 Å and the angles 90.00°, 90.08° and 90.00°. The asymmetric unit holds La at (0.000, 0.029, 0.250), La at (0.000, 0.316, 0.250), Dy at (0.000, 0.225, 0.545), Dy at (0.223, 0.500, 0.000) and Sc at (0.000, 0.400, 0.750).

Entry from the Alexandria database: La3Dy8Sc after structural relaxation (PBE).

As for the size of the total moment: 0.00 μB per atom. The density of states at the Fermi level is 1.4725 states/eV per atom. Its energy relative to the elements is 564 meV per atom. The calculation puts the calculated density at 6.72 g/cm³.

The structure belongs to space group I-42m (No. 121); the cell edges are 8.786, 8.786 and 11.277 Å and the angles 90.00°, 90.00° and 90.00°. The asymmetric unit holds La at (0.000, 0.000, 0.000), La at (0.000, 0.500, 0.250), Dy at (0.124, 0.124, 0.739), Dy at (0.232, 0.232, 0.473) and Sc at (0.000, 0.000, 0.500).

Entry from the Alexandria database: LaDySc after structural relaxation (PBE).

As for the size of the total moment: 0.00 μB per atom. The density of states at the Fermi level is 1.5657 states/eV per atom. Its energy relative to the elements is 64 meV per atom. Its energy above the lowest structure with this stoichiometry is 11.4 meV per atom. The calculation puts the calculated density at 6.21 g/cm³.

The structure belongs to space group I4mm (No. 107); the cell edges are 3.560, 3.560 and 14.607 Å and the angles 90.00°, 90.00° and 90.00°. The asymmetric unit holds La at (0.000, 0.000, 0.000), Dy at (0.000, 0.000, 0.680) and Sc at (0.000, 0.000, 0.336).